Record 1
Density functional theory data (GGA-PBE) for PmZr3 after structural relaxation.

Unit cell a=4.6538 b=4.6538 c=4.6538 alpha=90.00 beta=90.00 gamma=90.00
Space group Pm-3m (No. 221)
Inequivalent atoms, fractional coordinates:
Pm  0.0000  0.0000  0.0000 [1 per cell]
Zr  0.0000  0.5000  0.5000 [3 per cell]

## Properties
The calculation puts the energy at -29.7 eV/f.u.

Record 2
Density functional theory data (GGA-PBE) for Pm3Zr after structural relaxation.

Unit cell a=3.5194 b=5.7040 c=6.1940 alpha=90.00 beta=90.00 gamma=90.00
Space group Pmm2 (No. 25)
Inequivalent atoms, fractional coordinates:
Pm  0.0000  0.0000  0.0000 [1 per cell]
Pm  0.0000  0.5000  0.3307 [1 per cell]
Pm  0.5000  0.5000  0.8066 [1 per cell]
Zr  0.5000  0.0000  0.5009 [1 per cell]

## Properties
The calculation puts the energy at -22.2 eV/f.u.

Record 3
Density functional theory data (GGA-PBE) for Pm3Zr after structural relaxation.

Unit cell a=4.9694 b=4.9694 c=4.9694 alpha=90.00 beta=90.00 gamma=90.00
Space group Pm-3m (No. 221)
Inequivalent atoms, fractional coordinates:
Pm  0.0000  0.0000  0.5000 [3 per cell]
Zr  0.5000  0.5000  0.5000 [1 per cell]

## Properties
The calculation puts the energy at -22.3 eV/f.u.

Record 4
Density functional theory data (GGA-PBE) for PmZr3 after structural relaxation.

Unit cell a=4.6555 b=4.6555 c=9.2916 alpha=90.00 beta=90.00 gamma=90.00
Space group I4/mmm (No. 139)
Inequivalent atoms, fractional coordinates:
Pm  0.0000  0.0000  0.0000 [2 per cell]
Zr  0.0000  0.0000  0.5000 [2 per cell]
Zr  0.0000  0.5000  0.2500 [4 per cell]

## Properties
The calculation puts the energy at -29.8 eV/f.u.

no.,offset from the most stable computed form (meV/atom),total magnetization (μB per cell)
1,53.6,0.0
2,15.4,0.0
3,0.6,0.0
4,42.5,0.0